(1)
Below is La2Tb7Pr after structural relaxation, with properties calculated at the PBE level.

Structure (POSCAR):
```
La2Tb7Pr
1.0
-0.310 -0.706 3.430
-14.877 -1.079 -1.569
14.007 -5.359 0.165
Tb La Pr
7 2 1
Cartesian
2.478 -2.362 1.540 Tb
8.649 -4.565 -0.156 Tb
-0.590 -3.572 1.013 Tb
2.037 -5.626 0.829 Tb
-3.217 -1.518 1.198 Tb
-9.519 -1.873 -1.247 Tb
-3.658 -4.782 0.487 Tb
-6.516 -2.694 0.658 La
5.336 -4.450 1.369 La
0.000 0.000 0.000 Pr
```

Values from the calculation:
Energy of formation: 1.606 eV/f.u.

=====

(2)
Below is Rb2TiAuS4 after structural relaxation, with properties calculated at the PBE level.

Structure (POSCAR):
```
Rb2TiAuS4
1.0
-0.673 5.273 2.588
-4.680 -0.112 5.765
8.900 0.159 8.743
S Ti Rb Au
8 2 4 2
Cartesian
-2.985 1.322 6.270 S
-0.089 2.545 8.690 S
6.908 1.056 9.382 S
3.597 3.081 8.556 S
3.545 4.958 14.850 S
1.608 4.341 11.442 S
-0.373 3.305 3.691 S
1.979 0.674 5.504 S
1.606 3.978 9.195 Ti
0.000 0.000 0.000 Ti
5.599 1.044 6.081 Rb
2.629 4.388 5.251 Rb
4.907 3.093 11.858 Rb
-1.696 4.864 6.533 Rb
-0.336 2.637 1.294 Au
1.942 1.342 7.901 Au
```

Values from the calculation:
VASP energy: -4.676 eV/atom